Material: CaSmHg
Method: DFT, PBE
State: optimized geometry

a = 5.2369 Å, b = 5.2369 Å, c = 3.8699 Å
α = 90.00°, β = 90.00°, γ = 120.00°
Space group P3m1 (No. 156)
One atom of each set of equivalent atoms:
Ca1 0.0000 0.0000 0.0000 x1
Sm1 0.6667 0.3333 0.4644 x1
Hg1 0.3333 0.6667 0.7156 x1

Results
ΔE to the lowest computed polymorph = 112 meV/atom
formation energy from the elements = -0.19 eV per atom
magnetic moment = 0.0 μB per formula unit


Material: RuPtW2
Method: DFT, PBE
State: optimized geometry

a = 2.7709 Å, b = 2.7709 Å, c = 7.9769 Å
α = 90.00°, β = 90.00°, γ = 90.00°
Space group P4/mmm (No. 123)
One atom of each set of equivalent atoms:
Ru1 0.0000 0.0000 0.0000 x1
Pt1 0.0000 0.0000 0.5000 x1
W1 0.5000 0.5000 0.2392 x2

Results
ΔE to the lowest computed polymorph = 54 meV/atom
formation energy from the elements = -0.12 eV per atom
magnetic moment = 0.0 μB per formula unit


Material: TlCu2PdBr6
Method: DFT, PBE
State: optimized geometry

a = 14.5567 Å, b = 11.9243 Å, c = 7.6306 Å
α = 90.00°, β = 110.41°, γ = 90.00°
Space group C2/c (No. 15)
One atom of each set of equivalent atoms:
Tl1 0.0000 0.0588 0.2500 x4
Cu1 0.2189 0.4056 0.1658 x8
Pd1 0.0000 0.2017 0.7500 x4
Br1 0.1219 0.2152 0.0715 x8
Br2 0.1369 0.1886 0.6252 x8
Br3 0.1532 0.4846 0.3957 x8

Results
magnetic moment = 0.0 μB per formula unit


Material: CaSc2Cr
Method: DFT, PBE
State: optimized geometry

a = 7.2394 Å, b = 7.2394 Å, c = 7.2394 Å
α = 90.00°, β = 90.00°, γ = 90.00°
Space group Fm-3m (No. 225)
One atom of each set of equivalent atoms:
Ca1 0.0000 0.0000 0.0000 x4
Sc1 0.2500 0.2500 0.2500 x8
Cr1 0.0000 0.0000 0.5000 x4

Results
ΔE to the lowest computed polymorph = 167 meV/atom
formation energy from the elements = 0.38 eV per atom
magnetic moment = 3.9 μB per formula unit


Number 1: E_tot -2.54 eV/atom. Number 2: E_tot -10.42 eV/atom. Number 3: E_tot -2.95 eV/atom. Number 4: E_tot -5.69 eV/atom.